The following is a GGA-PBE calculation of Zr2CuBr after structural relaxation, from Alexandria.

abc: 3.313 5.426 4.422
angles: 90.00 90.00 90.00
Sites, in units of the cell vectors:
Zr (0.000, 0.000, 0.000)
Zr (0.500, 0.500, 0.499)
Cu (0.500, 0.000, 0.500)
Br (0.000, 0.500, 0.999)

For the density, the calculation gives 6.81 g/cm3. The calculation puts the relative energy among the computed polymorphs at 35.7 meV/atom. Its density of states at the Fermi level is 1.691 states/eV/cell. The calculation puts the energy relative to the elements, uncorrected at -163 meV per atom. The total energy is -5.88 eV/atom.